UGaB after structural relaxation. Source: OQMD via LeMat-Bulk, functional PBE.

Lattice parameters (Å, degrees): 6.200 6.200 6.200 90.00 90.00 90.00
Space group F-43m (No. 216)
Asymmetric unit:
U 0.000 0.000 0.000 (multiplicity 4)
Ga 0.250 0.250 0.250 (multiplicity 4)
B 0.250 0.250 0.750 (multiplicity 4)

Values from the calculation:
* electronic total energy: -6.066 eV/atom